Entry from Alexandria: a geometry-optimized YScBe structure (GGA-PBE).

Values from the calculation:
Total DFT energy (no corrections): -5.2768 eV per atom
V: 66 Å³ per cell
ΔE to the lowest computed polymorph: 0.559 eV per formula unit

Lattice parameters (Å, degrees): 4.5825 4.5825 3.6565 90.00 90.00 120.00
With the nearest neighbours (Å) after each atom.
Space group P3m1 (No. 156)
Unique sites:
Y  0.0000  0.0000  0.0000  3 Be 3.03, 6 Sc 3.18-3.25
Sc  0.3333  0.6667  0.5184  3 Be 2.68
Be  0.6667  0.3333  0.4043  3 Sc 2.68

Entry from Alexandria: a geometry-optimized Ce6Ge2TeSe3 structure (GGA-PBE).

Values from the calculation:
Total DFT energy (no corrections): -6.2605 eV per atom
V: 662 Å³ per cell
Uncorrected formation energy: -32.078 kcal/mol of atoms

Lattice parameters (Å, degrees): 18.5732 4.2776 8.5418 90.00 102.67 90.00
With the nearest neighbours (Å) after each atom.
Space group C2/m (No. 12)
Unique sites:
Ce  0.0026  0.0000  0.2657  3 Se 2.94-3.02, 1 Ge 2.98, 2 Te 3.11
Ce  0.1678  0.5000  0.5803  3 Ge 3.00-3.01, 3 Se 3.04-3.05
Ce  0.1724  0.5000  0.0906  3 Se 2.97-3.05, 2 Ge 2.99, 1 Te 3.12
Ge  0.1669  0.0000  0.3326  6 Ce 2.98-3.01
Te  0.0000  0.5000  0.0000  6 Ce 3.11-3.12
Se  0.0000  0.5000  0.5000  6 Ce 2.94-3.04
Se  0.1640  0.0000  0.8323  6 Ce 2.97-3.05

Entry from Alexandria: a geometry-optimized Y2Mg structure (GGA-PBE).

Values from the calculation:
Total DFT energy (no corrections): -4.8360 eV per atom
V: 351 Å³ per cell

Lattice parameters (Å, degrees): 10.3193 6.0880 6.5748 90.00 121.92 90.00
With the nearest neighbours (Å) after each atom.
Space group C2/c (No. 15)
Unique sites:
Y  0.1687  0.1036  0.2370  5 Mg 3.31-3.61, 7 Y 3.44-3.57
Mg  0.0000  0.4125  0.7500  10 Y 3.31-3.61, 2 Mg 3.46

Entry from Alexandria: a geometry-optimized Zr3Al2Zn4 structure (GGA-PBE).

Values from the calculation:
Total DFT energy (no corrections): -4.6401 eV per atom
V: 318 Å³ per cell

Lattice parameters (Å, degrees): 9.9332 4.3461 8.1967 90.00 116.05 90.00
With the nearest neighbours (Å) after each atom.
Space group C2/m (No. 12)
Unique sites:
Zr  0.0000  0.0000  0.0000  8 Zn 2.97-3.01, 4 Al 2.98, 2 Zr 3.24
Zr  0.1660  0.5000  0.6678  8 Zn 2.94-3.01, 4 Al 2.98-3.00, 2 Zr 3.24
Al  0.1111  0.5000  0.2772  3 Zn 2.52
Zn  0.0581  0.0000  0.3932  1 Zn 2.48, 2 Al 2.52
Zn  0.2192  0.5000  0.0506  2 Zn 2.50, 1 Al 2.52

Entry from Alexandria: a geometry-optimized TiAlH structure (GGA-PBE).

Values from the calculation:
Total DFT energy (no corrections): -5.2987 eV per atom
V: 140 Å³ per cell
ΔE to the lowest computed polymorph: 0.235 eV per formula unit

Lattice parameters (Å, degrees): 9.8365 2.8910 4.9932 90.00 99.18 90.00
With the nearest neighbours (Å) after each atom.
Space group C2/m (No. 12)
Unique sites:
Ti  0.1184  0.0000  0.3713  3 H 1.85-1.89
Al  0.1190  0.5000  0.8777  3 H 2.40-2.43
H  0.2319  0.5000  0.3399  3 Ti 1.85-1.89

Entry from Alexandria: a geometry-optimized KAsRhF2 structure (GGA-PBE).

Values from the calculation:
Total DFT energy (no corrections): -4.3392 eV per atom
V: 97 Å³ per cell
Uncorrected formation energy: -22.392 kcal/mol of atoms

Lattice parameters (Å, degrees): 4.5358 4.5358 4.7051 90.00 90.00 90.00
With the nearest neighbours (Å) after each atom.
Space group P4/mmm (No. 123)
Unique sites:
K  0.0000  0.0000  0.0000  4 Rh 3.21, 8 F 3.27
As  0.5000  0.5000  0.5000  4 F 2.27, 2 Rh 2.35
Rh  0.5000  0.5000  0.0000  2 As 2.35
F  0.0000  0.5000  0.5000  2 As 2.27

Entry from Alexandria: a geometry-optimized SrNpBeO5 structure (GGA-PBE).

Values from the calculation:
Total DFT energy (no corrections): -8.2089 eV per atom
V: 447 Å³ per cell
Uncorrected formation energy: -64.948 kcal/mol of atoms

Lattice parameters (Å, degrees): 6.9065 9.1308 7.7828 90.00 114.34 90.00
With the nearest neighbours (Å) after each atom.
Space group C2/c (No. 15)
Unique sites:
Sr  0.0000  0.1571  0.2500  5 O 2.39-2.60
Np  0.0000  0.5000  0.0000  6 O 2.06-2.08
Be  0.0000  0.1893  0.7500  4 O 1.70-1.71
O  0.0000  0.4186  0.2500  2 Np 2.08
O  0.0927  0.2946  0.6200  1 Be 1.70
O  0.1900  0.0719  0.8949  1 Be 1.71

Entry from Alexandria: a geometry-optimized LuSiGe structure (GGA-PBE).

Values from the calculation:
Total DFT energy (no corrections): -5.2055 eV per atom
V: 59 Å³ per cell
Uncorrected formation energy: -8.111 kcal/mol of atoms

Lattice parameters (Å, degrees): 4.2894 4.2894 3.7119 90.00 90.00 120.00
With the nearest neighbours (Å) after each atom.
Space group P-6m2 (No. 187)
Unique sites:
Lu  0.0000  0.0000  0.0000  6 Ge 3.09, 6 Si 3.09
Si  0.3333  0.6667  0.5000  3 Ge 2.48
Ge  0.6667  0.3333  0.5000  3 Si 2.48

Entry from Alexandria: a geometry-optimized Ca3SeS2 structure (GGA-PBE).

Values from the calculation:
Total DFT energy (no corrections): -5.0617 eV per atom
V: 293 Å³ per cell
Uncorrected formation energy: -48.528 kcal/mol of atoms

Lattice parameters (Å, degrees): 4.0954 5.8072 12.3052 90.00 90.00 90.00
With the nearest neighbours (Å) after each atom.
Space group Immm (No. 71)
Unique sites:
Ca  0.0000  0.0000  0.0000  4 S 2.89, 2 Se 2.90
Ca  0.0000  0.0000  0.3270  4 S 2.85-2.90, 2 Se 2.95
Se  0.0000  0.5000  0.0000  6 Ca 2.90-2.95
S  0.0000  0.5000  0.3339  6 Ca 2.85-2.90

Entry from Alexandria: a geometry-optimized Sm2ScGe3Pt4 structure (GGA-PBE).

Values from the calculation:
Total DFT energy (no corrections): -6.3678 eV per atom
V: 197 Å³ per cell

Lattice parameters (Å, degrees): 4.2173 4.2173 11.0895 90.00 90.00 90.00
With the nearest neighbours (Å) after each atom.
Space group P-4m2 (No. 115)
Unique sites:
Sm  0.0000  0.5000  0.2298  4 Ge 3.18, 8 Pt 3.28-3.31
Sc  0.0000  0.0000  0.5000  4 Pt 2.67, 4 Ge 2.98
Ge  0.0000  0.5000  0.8689  5 Pt 2.46-2.56
Ge  0.5000  0.5000  0.5000  4 Pt 2.67, 4 Sc 2.98
Pt  0.0000  0.0000  0.0000  4 Ge 2.56
Pt  0.0000  0.5000  0.6471  3 Ge 2.46-2.67, 2 Sc 2.67
Pt  0.5000  0.5000  0.0000  4 Ge 2.56

Number 1: theoretical density 3.6 Mg/m³. Number 2: theoretical density 6.8 Mg/m³. Number 3: theoretical density 3.8 Mg/m³. Number 4: theoretical density 6.2 Mg/m³. Number 5: theoretical density 3.6 Mg/m³. Number 6: theoretical density 4.4 Mg/m³. Number 7: theoretical density 6.1 Mg/m³. Number 8: theoretical density 7.7 Mg/m³. Number 9: theoretical density 3.0 Mg/m³. Number 10: theoretical density 11.3 Mg/m³.